{"formula": "Er2NbP3", "functional": "PBE", "state": "optimized geometry", "spacegroup": "P-3m1", "magnetic_moment_mub_per_cell": 0.001, "vol_a3_per_atom": 19.7, "dft_energy_ev_per_atom": -7.187, "lattice_angstrom": [[-1.389, -1.773, -3.077], [0.253, -1.859, 3.320], [-8.632, 2.850, 2.255]], "species": ["P", "P", "P", "Er", "Er", "Nb"], "frac_coords": [[0.667, 0.333, 0.647], [0.000, 0.000, 0.000], [0.333, 0.667, 0.353], [0.667, 0.333, 0.178], [0.333, 0.667, 0.822], [0.000, 0.000, 0.500]]}

{"formula": "HfGe2", "functional": "PBE", "state": "optimized geometry", "spacegroup": "Fd-3m", "magnetic_moment_mub_per_cell": 0.018, "vol_a3_per_atom": 18.5, "dft_energy_ev_per_atom": -6.266, "lattice_angstrom": [[-1.772, -4.649, 2.079], [-5.282, -0.774, 0.760], [-2.688, -3.493, -3.108]], "species": ["Hf", "Hf", "Ge", "Ge", "Ge", "Ge"], "frac_coords": [[0.250, 0.250, 0.250], [0.000, 0.000, 0.000], [0.125, 0.625, 0.625], [0.625, 0.625, 0.125], [0.625, 0.125, 0.625], [0.625, 0.625, 0.625]]}

{"formula": "CsRbPr2Sb2", "functional": "PBE", "state": "optimized geometry", "spacegroup": "P4mm", "magnetic_moment_mub_per_cell": 0.118, "vol_a3_per_atom": 44.7, "dft_energy_ev_per_atom": -3.908, "lattice_angstrom": [[-0.643, 3.903, 3.781], [0.349, -3.770, 3.951], [8.866, 1.154, 0.317]], "species": ["Sb", "Sb", "Rb", "Pr", "Pr", "Cs"], "frac_coords": [[0.500, 0.500, 0.689], [0.000, 0.000, 0.310], [0.500, 0.500, 0.135], [0.000, 0.500, 0.498], [0.500, 0.000, 0.498], [0.000, 0.000, 0.871]]}

{"formula": "TaCoReAs", "functional": "PBE", "state": "optimized geometry", "spacegroup": "F-43m", "magnetic_moment_mub_per_cell": 1.835, "vol_a3_per_atom": 14.8, "dft_energy_ev_per_atom": -8.865, "lattice_angstrom": [[-1.859, -3.845, 0.968], [-3.217, -0.192, 2.965], [-4.106, -0.829, -1.275]], "species": ["As", "Ta", "Co", "Re"], "frac_coords": [[0.000, 0.000, 0.000], [0.500, 0.500, 0.500], [0.750, 0.750, 0.750], [0.250, 0.250, 0.250]]}

{"formula": "La2PrCu2Si4Ir2", "functional": "PBE", "state": "optimized geometry", "spacegroup": "Immm", "magnetic_moment_mub_per_cell": 0.010, "vol_a3_per_atom": 19.3, "dft_energy_ev_per_atom": -6.414, "lattice_angstrom": [[-2.073, 2.089, 12.262], [2.073, -2.089, 12.262], [2.073, 2.089, -12.262]], "species": ["La", "La", "Ir", "Ir", "Si", "Si", "Si", "Si", "Cu", "Cu", "Pr"], "frac_coords": [[0.146, 0.646, 0.500], [0.854, 0.354, 0.500], [0.249, 0.249, 0.000], [0.751, 0.751, 0.000], [0.697, 0.197, 0.500], [0.451, 0.451, 0.000], [0.303, 0.803, 0.500], [0.549, 0.549, 0.000], [0.403, 0.903, 0.500], [0.597, 0.097, 0.500], [0.000, 0.000, 0.000]]}

{"formula": "NdBiN2O", "functional": "PBE", "state": "optimized geometry", "spacegroup": "P2_1/c", "magnetic_moment_mub_per_cell": 0.019, "vol_a3_per_atom": 14.9, "dft_energy_ev_per_atom": -6.646, "lattice_angstrom": [[-5.274, 2.715, 6.036], [0.356, -7.389, 3.635], [11.790, -0.009, -1.173]], "species": ["N", "N", "N", "N", "N", "N", "N", "N", "N", "N", "N", "N", "N", "N", "N", "N", "Bi", "Bi", "Bi", "Bi", "Bi", "Bi", "Bi", "Bi", "O", "O", "O", "O", "O", "O", "O", "O", "Nd", "Nd", "Nd", "Nd", "Nd", "Nd", "Nd", "Nd"], "frac_coords": [[0.288, 0.589, 0.790], [0.712, 0.411, 0.210], [0.288, 0.911, 0.290], [0.197, 0.431, 0.003], [0.444, 0.752, 0.659], [0.940, 0.757, 0.781], [0.803, 0.569, 0.997], [0.444, 0.748, 0.159], [0.556, 0.248, 0.341], [0.556, 0.252, 0.841], [0.940, 0.743, 0.281], [0.060, 0.243, 0.219], [0.803, 0.931, 0.497], [0.197, 0.069, 0.503], [0.060, 0.257, 0.719], [0.712, 0.089, 0.710], [0.499, 0.004, 0.740], [0.978, 0.493, 0.235], [0.022, 0.507, 0.765], [0.499, 0.496, 0.240], [0.022, 0.993, 0.265], [0.501, 0.996, 0.260], [0.501, 0.504, 0.760], [0.978, 0.007, 0.735], [0.317, 0.964, 0.819], [0.799, 0.943, 0.997], [0.201, 0.057, 0.003], [0.201, 0.443, 0.503], [0.799, 0.557, 0.497], [0.683, 0.036, 0.181], [0.683, 0.464, 0.681], [0.317, 0.536, 0.319], [0.443, 0.267, 0.482], [0.949, 0.253, 0.469], [0.051, 0.753, 0.031], [0.443, 0.233, 0.982], [0.557, 0.733, 0.518], [0.949, 0.247, 0.969], [0.051, 0.747, 0.531], [0.557, 0.767, 0.018]]}